[1]
This record from Alexandria describes crystalline Ac2Pm4Pr3 at its relaxed geometry. The functional is PBE.

a b c (Å): 3.7567 3.7567 27.8468
angles (deg): 90.00 90.00 120.00
Space group P3m1 (No. 156)
One atom of each set of equivalent atoms:
Ac 0.0000 0.0000 0.0000 x1
Ac 0.0000 0.0000 0.2281 x1
Pm 0.0000 0.0000 0.3569 x1
Pm 0.0000 0.0000 0.5702 x1
Pm 0.3333 0.6667 0.6734 x1
Pm 0.3333 0.6667 0.8878 x1
Pr 0.0000 0.0000 0.7818 x1
Pr 0.3333 0.6667 0.1162 x1
Pr 0.3333 0.6667 0.4601 x1

Calculated values
The total energy comes out at -4.541 eV per atom. As for the total magnetization: 0.000 μB per atom. The density is 7107 kg/m3. The calculation puts the formation energy at 77 meV/atom.



[2]
This record from Alexandria describes crystalline Ac12Pm5Pr at its relaxed geometry. The functional is PBE.

a b c (Å): 16.5356 16.3143 5.6393
angles (deg): 90.00 90.03 90.00
Space group C2 (No. 5)
One atom of each set of equivalent atoms:
Ac 0.1584 0.0000 0.0004 x4
Ac 0.1585 0.1647 0.4994 x4
Ac 0.1588 0.5019 0.4995 x4
Ac 0.1586 0.6655 0.0004 x4
Ac 0.1633 0.3330 0.9990 x4
Ac 0.1649 0.8331 0.5012 x4
Pm 0.0000 0.1743 0.0000 x2
Pm 0.0000 0.4905 0.0000 x2
Pm 0.0000 0.6811 0.5000 x2
Pm 0.0000 0.8307 0.0000 x2
Pm 0.0000 0.9871 0.5000 x2
Pr 0.0000 0.3352 0.5000 x2

Calculated values
The total energy comes out at -4.458 eV per atom. As for the total magnetization: 0.000 μB per atom. The density is 7837 kg/m3. The calculation puts the formation energy at -134 meV/atom.



[3]
This record from Alexandria describes crystalline Ac4PmPr5 at its relaxed geometry. The functional is PBE.

a b c (Å): 17.8435 3.7858 12.1285
angles (deg): 90.00 90.36 90.00
Space group C2/m (No. 12)
One atom of each set of equivalent atoms:
Ac 0.0316 0.0000 0.2490 x4
Ac 0.1648 0.5000 0.7497 x4
Pm 0.0000 0.5000 0.0000 x2
Pr 0.0000 0.5000 0.5000 x2
Pr 0.1710 0.0000 0.0399 x4
Pr 0.1716 0.0000 0.4581 x4

Calculated values
The total energy comes out at -4.336 eV per atom. As for the total magnetization: 0.000 μB per atom. The density is 7124 kg/m3. The calculation puts the formation energy at 172 meV/atom.



[4]
This record from Alexandria describes crystalline Ac4Pm4Pr5 at its relaxed geometry. The functional is PBE.

a b c (Å): 13.6373 13.6373 5.3562
angles (deg): 90.00 90.00 90.00
Space group I4/m (No. 87)
One atom of each set of equivalent atoms:
Ac 0.0811 0.3796 0.0000 x8
Pm 0.1513 0.7713 0.0000 x8
Pr 0.0000 0.0000 0.0000 x2
Pr 0.0424 0.1869 0.5000 x8

Calculated values
The total energy comes out at -4.532 eV per atom. As for the total magnetization: 0.000 μB per atom. The density is 7310 kg/m3. The calculation puts the formation energy at 32 meV/atom.



[5]
This record from Alexandria describes crystalline Ac3Pm2Pr at its relaxed geometry. The functional is PBE.

a b c (Å): 3.7029 6.3844 20.7176
angles (deg): 90.00 90.00 90.00
Space group Immm (No. 71)
One atom of each set of equivalent atoms:
Ac 0.0000 0.0000 0.0000 x2
Ac 0.0000 0.5000 0.1876 x4
Pm 0.0000 0.5000 0.3613 x4
Pr 0.0000 0.5000 0.0000 x2

Calculated values
The total energy comes out at -4.089 eV per atom. As for the total magnetization: 0.011 μB per atom. The density is 7540 kg/m3. The calculation puts the formation energy at 345 meV/atom.



[6]
This record from Alexandria describes crystalline Ac4PmPr at its relaxed geometry. The functional is PBE.

a b c (Å): 12.2328 6.4698 6.3563
angles (deg): 90.00 90.02 90.00
Space group C2/m (No. 12)
One atom of each set of equivalent atoms:
Ac 0.1578 0.0000 0.0018 x4
Ac 0.1583 0.5000 0.4983 x4
Pm 0.0000 0.0000 0.5000 x2
Pr 0.0000 0.5000 0.0000 x2

Calculated values
The total energy comes out at -4.268 eV per atom. As for the total magnetization: 0.000 μB per atom. The density is 7882 kg/m3. The calculation puts the formation energy at 59 meV/atom.



[7]
This record from Alexandria describes crystalline Ac2Pm2Pr7 at its relaxed geometry. The functional is PBE.

a b c (Å): 11.7399 12.1305 6.2992
angles (deg): 90.00 111.56 90.00
Space group C2/m (No. 12)
One atom of each set of equivalent atoms:
Ac 0.2247 0.0000 0.0971 x4
Pm 0.0000 0.2290 0.0000 x4
Pr 0.0000 0.0000 0.5000 x2
Pr 0.0786 0.5000 0.3007 x4
Pr 0.1768 0.2307 0.6707 x8

Calculated values
The total energy comes out at -4.511 eV per atom. As for the total magnetization: 0.000 μB per atom. The density is 6888 kg/m3. The calculation puts the formation energy at 142 meV/atom.



[8]
This record from Alexandria describes crystalline Ac3Pm4Pr2 at its relaxed geometry. The functional is PBE.

a b c (Å): 19.5095 3.8045 9.2645
angles (deg): 90.00 90.93 90.00
Space group C2/m (No. 12)
One atom of each set of equivalent atoms:
Ac 0.0000 0.0000 0.0000 x2
Ac 0.1121 0.0000 0.6646 x4
Pm 0.0587 0.5000 0.3318 x4
Pm 0.2202 0.0000 0.3357 x4
Pr 0.1696 0.5000 0.0039 x4

Calculated values
The total energy comes out at -4.509 eV per atom. As for the total magnetization: 0.000 μB per atom. The density is 7452 kg/m3. The calculation puts the formation energy at 34 meV/atom.



[9]
This record from Alexandria describes crystalline AcPm3Pr6 at its relaxed geometry. The functional is PBE.

a b c (Å): 13.7975 14.9813 7.1892
angles (deg): 90.00 90.00 90.00
Space group Cmc2_1 (No. 36)
One atom of each set of equivalent atoms:
Ac 0.0000 0.1969 0.0000 x4
Pm 0.0000 0.4097 0.2153 x4
Pm 0.2137 0.0249 0.4760 x8
Pr 0.0000 0.0041 0.7317 x4
Pr 0.0000 0.2070 0.4940 x4
Pr 0.1166 0.3896 0.6899 x8
Pr 0.2327 0.2893 0.2765 x8

Calculated values
The total energy comes out at -4.508 eV per atom. As for the total magnetization: 0.000 μB per atom. The density is 6738 kg/m3. The calculation puts the formation energy at 195 meV/atom.



[10]
This record from Alexandria describes crystalline AcPm3Pr4 at its relaxed geometry. The functional is PBE.

a b c (Å): 10.5220 7.4541 7.4406
angles (deg): 90.00 90.00 90.00
Space group Pmn2_1 (No. 31)
One atom of each set of equivalent atoms:
Ac 0.0000 0.9997 0.0000 x2
Pm 0.0000 0.5003 0.4999 x2
Pm 0.2499 0.2551 0.2500 x4
Pr 0.0000 0.0000 0.5000 x2
Pr 0.0000 0.4999 0.9999 x2
Pr 0.2498 0.2552 0.7500 x4

Calculated values
The total energy comes out at -4.667 eV per atom. As for the total magnetization: 0.000 μB per atom. The density is 6975 kg/m3. The calculation puts the formation energy at 18 meV/atom.